No. 1
Cs3Na2AcI9: relaxed, PBE.

calculated volume	768.1	Å³ per cell
crystal system	trigonal
total energy	-42.9	eV per cell

Unit cell a=8.8209 b=8.8209 c=11.3987 alpha=90.00 beta=90.00 gamma=120.00
With the nearest neighbours (Å) after each atom.
Atoms (fractional coordinates):
I 0.1689 0.3378 0.3293  1 Na 3.17, 1 Ac 3.23
I 0.5000 0.5000 0.0000  2 Na 3.13
I 0.6622 0.8311 0.3293  1 Na 3.17, 1 Ac 3.23
I 0.5000 0.0000 0.0000  2 Na 3.13
I 0.3378 0.1689 0.6707  1 Na 3.17, 1 Ac 3.23
I 0.0000 0.5000 0.0000  2 Na 3.13
I 0.8311 0.1689 0.6707  1 Na 3.17, 1 Ac 3.23
I 0.8311 0.6622 0.6707  1 Na 3.17, 1 Ac 3.23
I 0.1689 0.8311 0.3293  1 Na 3.17, 1 Ac 3.23
Ac 0.0000 0.0000 0.5000  6 I 3.23
Na 0.3333 0.6667 0.1600  6 I 3.13-3.17
Na 0.6667 0.3333 0.8400  6 I 3.13-3.17
Cs 0.6667 0.3333 0.2903  9 I 4.18-4.43
Cs 0.0000 0.0000 0.0000  12 I 4.41-4.56
Cs 0.3333 0.6667 0.7097  9 I 4.18-4.43

No. 2
LiAcInPd: relaxed, PBE.

calculated volume	99.2	Å³ per cell
formation energy	-0.53	eV/atom
crystal system	monoclinic
energy relative to the lowest polymorph listed for this composition	0	meV/atom
total energy	-16.1	eV per cell

Unit cell a=4.7472 b=4.7535 c=5.7761 alpha=114.47 beta=90.00 gamma=119.96
With the nearest neighbours (Å) after each atom.
Atoms (fractional coordinates):
Ac 0.6188 0.2376 0.4965  4 Pd 3.08-3.41, 4 Li 3.08-3.40
In 0.1117 0.2235 0.9777  3 Pd 2.78, 3 Li 2.81-2.82
Pd 0.4156 0.8311 0.8903  3 In 2.78, 3 Li 2.95, 1 Ac 3.08
Li 0.8202 0.6404 0.1029  3 In 2.81-2.82, 3 Pd 2.95, 1 Ac 3.08

No. 3
K4Nd3PuSe8: relaxed, PBE.

calculated volume	501.8	Å³ per cell
crystal system	trigonal
total energy	-87.7	eV per cell

Unit cell a=8.6842 b=9.1749 c=8.6842 alpha=118.26 beta=120.00 gamma=90.00
With the nearest neighbours (Å) after each atom.
Atoms (fractional coordinates):
Se 0.2346 0.7088 0.4692  1 Pu 2.95, 2 Nd 2.99
Se 0.2603 0.2912 0.0257  1 Pu 2.95, 2 Nd 2.99
Se 0.7397 0.7088 0.9743  1 Pu 2.95, 2 Nd 2.99
Se 0.7654 0.2912 0.0257  1 Pu 2.95, 2 Nd 2.99
Se 0.7654 0.2912 0.5308  1 Pu 2.95, 2 Nd 2.99
Se 0.7374 0.7121 0.4748  3 Nd 2.99, 3 K 3.34
Se 0.2626 0.2879 0.5252  3 Nd 2.99, 3 K 3.34
Se 0.2346 0.7088 0.9743  1 Pu 2.95, 2 Nd 2.99
K 0.5000 0.0000 0.5000  6 Se 3.34-3.35
K 0.5000 0.0000 0.0000  6 Se 3.38
K 0.0000 0.0000 0.0000  6 Se 3.34-3.35
K 0.0000 0.0000 0.5000  6 Se 3.34-3.35
Nd 0.5000 0.5000 0.5000  6 Se 2.99
Nd 0.0000 0.5000 0.5000  6 Se 2.99
Nd 0.5000 0.5000 0.0000  6 Se 2.99
Pu 0.0000 0.5000 0.0000  6 Se 2.95

No. 4
SrRuN2: relaxed, PBE.

calculated volume	251.3	Å³ per cell
crystal system	monoclinic
energy relative to the lowest polymorph listed for this composition	0	meV/atom
total energy	-113.9	eV per cell

Unit cell a=8.1307 b=5.3598 c=6.1968 alpha=68.50 beta=90.00 gamma=90.00
With the nearest neighbours (Å) after each atom.
Atoms (fractional coordinates):
Sr 0.3986 0.8443 0.3371  4 N 2.56-2.85
Sr 0.8986 0.6557 0.6629  4 N 2.56-2.85
Sr 0.6014 0.1557 0.6629  4 N 2.56-2.85
Sr 0.1014 0.3443 0.3371  4 N 2.56-2.85
Ru 0.1445 0.0710 0.8877  4 N 1.88-2.02
Ru 0.6445 0.4290 0.1123  4 N 1.88-2.02
Ru 0.8555 0.9290 0.1123  4 N 1.88-2.02
Ru 0.3555 0.5710 0.8877  4 N 1.88-2.02
N 0.8118 0.5478 0.2607  2 Ru 1.88-1.94
N 0.5856 0.5754 0.7716  2 Ru 2.00-2.02
N 0.1882 0.4522 0.7393  2 Ru 1.88-1.94
N 0.3118 0.9522 0.7393  2 Ru 1.88-1.94
N 0.6882 0.0478 0.2607  2 Ru 1.88-1.94
N 0.0856 0.9246 0.2284  2 Ru 2.00-2.02
N 0.9144 0.0754 0.7716  2 Ru 2.00-2.02
N 0.4144 0.4246 0.2284  2 Ru 2.00-2.02